Here is crystalline ErTm3Pu2S6 at its relaxed geometry from the Alexandria database. Energies are from GGA-PBE.

Computed properties:
formation energy (no corrections) = -1913 meV/atom
SG = C2/m

Cell: 8.6868 8.6868 7.7970 Å, 103.19 103.19 25.72°
Fractional positions:
Er (0.0000, 0.0000, 0.0000)
Tm (0.0000, 0.0000, 0.5000)
Tm (0.3322, 0.3322, 0.1670)
Tm (0.6678, 0.6678, 0.8330)
Pu (0.3341, 0.3341, 0.6668)
Pu (0.6659, 0.6659, 0.3332)
S (0.1649, 0.1649, 0.5880)
S (0.1665, 0.1665, 0.0762)
S (0.4968, 0.4968, 0.2496)
S (0.5032, 0.5032, 0.7504)
S (0.8335, 0.8335, 0.9238)
S (0.8351, 0.8351, 0.4120)